Rb3InAu3 | PBE-GGA | relaxed

Cell: 4.9997 6.7134 15.7599 Å, 88.03 80.87 68.14°
Fractional positions:
Rb 0.5129 0.3428 0.6314
Rb 0.4871 0.6572 0.3686
Rb 0.2412 0.2870 0.2306
Rb 0.7588 0.7130 0.7694
Rb 0.3987 0.2783 0.9243
Rb 0.6013 0.7217 0.0757
In 0.7526 0.0777 0.4170
In 0.2474 0.9223 0.5830
Au 0.8742 0.7201 0.5315
Au 0.1258 0.2799 0.4685
Au 0.1023 0.8760 0.9193
Au 0.8977 0.1240 0.0807
Au 0.9257 0.9057 0.2430
Au 0.0743 0.0943 0.7570

Results
The calculation puts the energy of formation at -0.28 eV/atom. Its energy above the most stable polymorph in this dataset is 0 meV per atom.

CrOsRu2Au | PBE-GGA | relaxed

Cell: 4.7819 4.4645 4.7819 Å, 90.00 90.00 90.00°
Last column: magnetic moment on the atom in μB.
Fractional positions:
Os 0.5000 0.5000 0.5000  1.72
Au 0.0000 0.0000 0.0000  0.13
Cr 0.0000 0.5000 0.0000  0.01
Ru 0.0000 0.0000 0.5000  1.60
Ru 0.5000 0.0000 0.0000  1.08

Results
The calculation puts the energy of formation at 2.73 eV/atom.

What did the second record say?
CrOsRu2Au | PBE-GGA | relaxed

Cell: 4.7819 4.4645 4.7819 Å, 90.00 90.00 90.00°
Last column: magnetic moment on the atom in μB.
Fractional positions:
Os 0.5000 0.5000 0.5000  1.72
Au 0.0000 0.0000 0.0000  0.13
Cr 0.0000 0.5000 0.0000  0.01
Ru 0.0000 0.0000 0.5000  1.60
Ru 0.5000 0.0000 0.0000  1.08

Results
The calculation puts the energy of formation at 2.73 eV/atom.

energy of formation of number 2 (CrOsRu2Au)?
2.73 eV/atom

Which formula does entry 2 have?
CrOsRu2Au